Here is a relaxed Zr2NbAlH crystal from Alexandria via LeMat-Bulk. Energies are from GGA-PBE.

a = 4.1546 Å, b = 4.1546 Å, c = 4.7421 Å
α = 90.00°, β = 90.00°, γ = 90.00°
Atoms (fractional coordinates):
Zr: 0.0000 0.5000 0.0000
Zr: 0.5000 0.0000 0.0000
Nb: 0.5000 0.5000 0.5000
H: 0.0000 0.0000 0.0000
Al: 0.0000 0.0000 0.5000

Computed properties:
D(E_F) (states/eV/f.u.): 5.414
Final energy (eV per atom): -7.03